Entry 1:
## Nb2CoOsN (GGA-PBE)

Data for a relaxed structure of Nb2CoOsN.

Cell: 4.2427 4.2427 3.7449 Å, 90.00 90.00 90.00°
Fractional coordinates of all 5 atoms:
Co 0.0000 0.0000 0.5000
N 0.0000 0.0000 0.0000
Os 0.5000 0.5000 0.5000
Nb 0.5000 0.0000 0.0000
Nb 0.0000 0.5000 0.0000

Values from the calculation:
space-group type: P4/mmm, No. 123
DFT total energy: -48.59 eV for the cell shown
total magnetization: 0.31 μB per formula unit
volume: 67.4 Å³ per cell
uncorrected formation energy: -357 meV/atom

Entry 2:
## Pa2NbCoN5 (GGA-PBE)

Data for a relaxed structure of Pa2NbCoN5.

Cell: 3.2834 6.6496 10.1021 Å, 90.00 90.00 104.29°
Fractional coordinates of all 18 atoms:
Co 0.5280 0.0560 0.9541
Co 0.4720 0.9440 0.4541
N 0.3223 0.6446 0.3678
N 0.3670 0.7340 0.9970
N 0.0476 0.0952 0.0685
N 0.6777 0.3554 0.8678
N 0.7172 0.4344 0.1620
N 0.6330 0.2660 0.4970
N 0.4878 0.9756 0.7719
N 0.2828 0.5656 0.6620
N 0.9524 0.9048 0.5685
N 0.5122 0.0244 0.2719
Pa 0.1059 0.2118 0.6833
Pa 0.8591 0.7183 0.8095
Pa 0.1409 0.2817 0.3095
Pa 0.8941 0.7882 0.1833
Nb 0.1941 0.3883 0.0099
Nb 0.8059 0.6117 0.5099

Values from the calculation:
space-group type: Cmc2_1, No. 36
DFT total energy: -175.31 eV for the cell shown
total magnetization: 0.00 μB per formula unit
volume: 213.7 Å³ per cell
uncorrected formation energy: -1095 meV/atom